1.
First-principles (SCAN) data for a crystal of TcAs2BrCl relaxed with PBEsol, as listed in Alexandria via LeMat-Bulk.

Lattice parameters (Å, degrees): 4.7238 4.7238 5.0384 90.00 90.00 90.00
With the nearest neighbours (Å) after each atom.
Space group P4/mmm (No. 123)
Inequivalent atoms, fractional coordinates:
Tc 0.0000 0.0000 0.0000  4 As 2.36, 2 Br 2.52
As 0.0000 0.5000 0.0000  2 Tc 2.36
Br 0.0000 0.0000 0.5000  2 Tc 2.52
Cl 0.5000 0.5000 0.5000  4 Br 3.34, 8 As 3.45

Values from the calculation:
* E_tot: -20.333 eV per atom
* raw formation energy: 242 meV/atom

***

2.
First-principles (SCAN) data for a crystal of LaHg2Pt2 relaxed with PBEsol, as listed in Alexandria via LeMat-Bulk.

Lattice parameters (Å, degrees): 4.0916 4.0916 12.9877 90.00 90.00 90.00
With the nearest neighbours (Å) after each atom.
Space group I4/mmm (No. 139)
Inequivalent atoms, fractional coordinates:
La 0.0000 0.0000 0.0000  8 Pt 3.16
Hg 0.0000 0.5000 0.2500  4 Pt 2.84, 4 Hg 2.89
Pt 0.0000 0.0000 0.4013  1 Pt 2.56, 4 Hg 2.84

Values from the calculation:
* DFT formation energy: -3.34 eV/f.u.
* E_tot: -64.633 eV per atom